Crystalline Pr2SmZn2Si4Au2 at its relaxed geometry. Source: the Open Quantum Materials Database, functional PBE.

Values from the calculation:
Relative energy among the computed polymorphs   0.462 eV/f.u.
Calculated total energy   -4.7226 eV per atom
Calculated volume   20.4 A^3/atom
Total moment   0.004 μB/f.u.

a b c (Å): 12.7644 12.7644 12.7644
angles (deg): 160.88 160.77 27.24
With the nearest neighbours (Å) after each atom.
Fractional positions:
Au1 0.2506 0.2506 0.0000  4 Si 2.58-2.60
Au2 0.7494 0.7494 0.0000  4 Si 2.58-2.60
Pr1 0.8552 0.3552 0.5000  6 Si 3.21-3.22, 4 Zn 3.26, 4 Au 3.36-3.37
Pr2 0.1448 0.6448 0.5000  6 Si 3.21-3.22, 4 Zn 3.26, 4 Au 3.36-3.37
Si1 0.4527 0.4527 0.0000  1 Si 2.35, 2 Zn 2.41
Si2 0.5473 0.5473 0.0000  1 Si 2.35, 2 Zn 2.41
Si3 0.6904 0.1904 0.5000  1 Zn 2.40, 4 Au 2.58-2.60
Si4 0.3096 0.8096 0.5000  1 Zn 2.40, 4 Au 2.58-2.60
Sm1 0.0000 0.0000 0.0000  4 Zn 3.16, 8 Si 3.23
Zn1 0.5939 0.0939 0.5000  3 Si 2.40-2.41
Zn2 0.4061 0.9061 0.5000  3 Si 2.40-2.41